No. 1
Material: LuMgScCu
Method: DFT, PBE
State: relaxed

Magnetization   0.00 μB per atom
Mass density   6.0 g/cm³
Formation enthalpy at 0 K   -0.0569 eV per atom
SG   No. 216

abc: 4.9350 4.9350 4.9350
angles: 60.00 60.00 60.00
Closest atoms and distances in Å follow each position.
Atoms (fractional coordinates):
Lu (0.0000, 0.0000, 0.0000)  4 Cu 3.02, 4 Mg 3.02
Mg (0.2500, 0.2500, 0.2500)  4 Sc 3.02, 4 Lu 3.02
Sc (0.5000, 0.5000, 0.5000)  4 Cu 3.02, 4 Mg 3.02
Cu (0.7500, 0.7500, 0.7500)  4 Lu 3.02, 4 Sc 3.02

---

No. 2
Material: Ac4IrRhCl2
Method: DFT, PBE
State: relaxed

Formation energy (no corrections)   -1.276 eV/atom
Magnetization   0.00 μB per atom
Mass density   8.2 g/cm³
SG   No. 10

abc: 7.4898 4.3303 8.3633
angles: 90.00 107.00 90.00
Closest atoms and distances in Å follow each position.
Atoms (fractional coordinates):
Ac (0.2313, 0.0000, 0.2022)  2 Ir 2.97, 1 Rh 2.98
Ac (0.2663, 0.5000, 0.7976)  1 Ir 2.97, 2 Rh 2.98
Ac (0.7337, 0.5000, 0.2024)  1 Ir 2.97, 2 Rh 2.98
Ac (0.7687, 0.0000, 0.7978)  2 Ir 2.97, 1 Rh 2.98
Ir (0.0000, 0.5000, 0.0000)  6 Ac 2.97
Rh (0.5000, 0.0000, 0.0000)  6 Ac 2.98
Cl (0.0000, 0.0000, 0.5000)  6 Ac 3.42-3.46
Cl (0.5000, 0.5000, 0.5000)  6 Ac 3.44-3.47

---

No. 3
Material: BaTl3Ga
Method: DFT, PBE
State: relaxed

Magnetization   0.00 μB per atom
Mass density   5.0 g/cm³
Formation enthalpy at 0 K   0.7272 eV per atom
Distance to the lowest polymorph of the same formula   457 kJ/mol of formula units
SG   No. 221

abc: 6.4613 6.4613 6.4613
angles: 90.00 90.00 90.00
Closest atoms and distances in Å follow each position.
Atoms (fractional coordinates):
Ba (0.0000, 0.0000, 0.0000)  6 Tl 3.23
Tl (0.0000, 0.0000, 0.5000)  2 Ba 3.23
Tl (0.0000, 0.5000, 0.0000)  2 Ba 3.23
Tl (0.5000, 0.0000, 0.0000)  2 Ba 3.23
Ga (0.5000, 0.5000, 0.5000)  12 Tl 4.57

---

No. 4
Material: PmSn2Se4
Method: DFT, PBE
State: relaxed

Formation energy (no corrections)   -0.876 eV/atom
Magnetization   0.00 μB per atom
Mass density   6.0 g/cm³
SG   No. 63

abc: 7.1850 7.1850 13.8224
angles: 90.00 90.00 147.07
Closest atoms and distances in Å follow each position.
Atoms (fractional coordinates):
Pm (0.1094, 0.8906, 0.7500)  6 Se 2.92-3.04
Pm (0.8906, 0.1094, 0.2500)  6 Se 2.92-3.04
Sn (0.3666, 0.6334, 0.5641)  6 Se 2.86-3.02
Sn (0.3666, 0.6334, 0.9359)  6 Se 2.86-3.02
Sn (0.6334, 0.3666, 0.0641)  6 Se 2.86-3.02
Sn (0.6334, 0.3666, 0.4359)  6 Se 2.86-3.02
Se (0.0000, 0.0000, 0.0000)  4 Sn 2.88
Se (0.0000, 0.0000, 0.5000)  4 Sn 2.88
Se (0.2828, 0.7172, 0.1269)  3 Sn 2.88-3.02, 2 Pm 3.04
Se (0.2828, 0.7172, 0.3731)  3 Sn 2.88-3.02, 2 Pm 3.04
Se (0.4577, 0.5423, 0.7500)  2 Sn 2.86, 2 Pm 2.92
Se (0.5423, 0.4577, 0.2500)  2 Sn 2.86, 2 Pm 2.92
Se (0.7172, 0.2828, 0.6269)  3 Sn 2.88-3.02, 2 Pm 3.04
Se (0.7172, 0.2828, 0.8731)  3 Sn 2.88-3.02, 2 Pm 3.04

---

No. 5
Material: Fe4PtCl
Method: DFT, PBE
State: relaxed

Formation energy (no corrections)   0.495 eV/atom
Magnetization   1.88 μB per atom
Mass density   8.9 g/cm³
SG   No. 216

abc: 4.9345 4.9345 4.9345
angles: 60.00 60.00 60.00
Closest atoms and distances in Å follow each position.
Atoms (fractional coordinates):
Fe (0.3758, 0.3758, 0.3758)  6 Fe 2.45-2.48
Fe (0.3758, 0.3758, 0.8726)  6 Fe 2.45-2.48
Fe (0.3758, 0.8726, 0.3758)  6 Fe 2.45-2.48
Fe (0.8726, 0.3758, 0.3758)  6 Fe 2.45-2.48
Pt (0.7500, 0.7500, 0.7500)  12 Fe 2.89, 4 Cl 3.02
Cl (0.0000, 0.0000, 0.0000)  12 Fe 2.89, 4 Pt 3.02

---

No. 6
Material: LiCeZnSb
Method: DFT, PBE
State: relaxed

Formation energy (no corrections)   -0.449 eV/atom
Magnetization   0.31 μB per atom
Mass density   5.9 g/cm³
SG   No. 216

abc: 5.0947 5.0947 5.0947
angles: 60.00 60.00 60.00
Closest atoms and distances in Å follow each position.
Atoms (fractional coordinates):
Li (0.0000, 0.0000, 0.0000)  4 Sb 3.12, 4 Zn 3.12
Ce (0.5000, 0.5000, 0.5000)  4 Sb 3.12, 4 Zn 3.12
Zn (0.2500, 0.2500, 0.2500)  4 Ce 3.12, 4 Li 3.12
Sb (0.7500, 0.7500, 0.7500)  4 Ce 3.12, 4 Li 3.12